! PBE ScMnRe2Au, relaxed; values from VASP
! Total magnetic moment: 0.0000 μB per atom
! Calculated formation energy: 0.907 eV per atom
&SYSTEM
  ibrav = 0, nat = 5, ntyp = 4
/
ATOMIC_SPECIES
Sc 44.96 Sc.upf
Mn 54.94 Mn.upf
Au 196.97 Au.upf
Re 186.21 Re.upf
CELL_PARAMETERS angstrom
-3.214 -2.918 0.748
2.368 -1.601 3.925
-2.112 2.963 2.483
ATOMIC_POSITIONS crystal
Sc 0.500 0.500 0.500
Mn 0.000 0.000 0.000
Au 0.000 0.500 0.000
Re 0.500 0.000 0.000
Re 0.000 0.000 0.500

! PBE MnRh2Au, relaxed; values from VASP
! Total magnetic moment: 0.7232 μB per atom
! Calculated formation energy: 0.120 eV per atom
&SYSTEM
  ibrav = 0, nat = 4, ntyp = 3
/
ATOMIC_SPECIES
Rh 102.91 Rh.upf
Au 196.97 Au.upf
Mn 54.94 Mn.upf
CELL_PARAMETERS angstrom
8.960 -0.072 -0.042
8.538 2.719 -0.042
8.538 1.292 2.393
ATOMIC_POSITIONS crystal
Rh 0.254 0.254 0.254
Rh 0.003 0.003 0.003
Au 0.497 0.497 0.497
Mn 0.746 0.746 0.746

! PBE Mn2RhAu, relaxed; values from VASP
! Total magnetic moment: 2.2242 μB per atom
! Calculated formation energy: -0.089 eV per atom
&SYSTEM
  ibrav = 0, nat = 4, ntyp = 3
/
ATOMIC_SPECIES
Mn 54.94 Mn.upf
Rh 102.91 Rh.upf
Au 196.97 Au.upf
CELL_PARAMETERS angstrom
3.096 -0.011 0.000
0.011 3.096 0.000
0.000 0.000 6.462
ATOMIC_POSITIONS crystal
Mn 0.000 0.000 0.017
Mn 0.000 0.000 0.483
Rh 0.500 0.500 0.250
Au 0.500 0.500 0.750

! PBE MnRhAu2, relaxed; values from VASP
! Total magnetic moment: 0.9425 μB per atom
! Calculated formation energy: 0.060 eV per atom
&SYSTEM
  ibrav = 0, nat = 4, ntyp = 3
/
ATOMIC_SPECIES
Au 196.97 Au.upf
Mn 54.94 Mn.upf
Rh 102.91 Rh.upf
CELL_PARAMETERS angstrom
9.043 -0.122 -0.072
8.614 2.757 -0.072
8.614 1.285 2.440
ATOMIC_POSITIONS crystal
Au 0.756 0.756 0.756
Mn 0.505 0.505 0.505
Rh 0.242 0.242 0.242
Au 0.997 0.997 0.997

Question: What is the formula in the fourth record?
Answer: MnRhAu2